[1]
Li3HoSb2, relaxed, DFT PBE; electronic total energy = -0.28691 Ry/atom; symmetry = P-3m1, No. 164
1.0
4.5056 0.0000 0.0000
-2.2528 3.9019 0.0000
0.0000 0.0000 7.0926
Li Ho Sb
3 1 2
direct
0.0000 0.0000 0.0000
0.3333 0.6667 0.1469
0.6667 0.3333 0.8531
0.0000 0.0000 0.5000
0.3333 0.6667 0.7476
0.6667 0.3333 0.2524



[2]
LiHoSb, relaxed, DFT PBE; electronic total energy = -0.30461 Ry/atom; distance to the lowest polymorph of the same formula = 0.000 eV per atom; symmetry = F-43m, No. 216
1.0
0.0000 3.4402 3.4402
3.4402 0.0000 3.4402
3.4402 3.4402 0.0000
Li Ho Sb
1 1 1
direct
0.0000 0.0000 0.0000
0.5000 0.5000 0.5000
0.7500 0.7500 0.7500



[3]
LiHoSc, relaxed, DFT PBE; electronic total energy = -0.27235 Ry/atom; distance to the lowest polymorph of the same formula = 0.000 eV per atom; symmetry = F-43m, No. 216
1.0
0.0000 3.4312 3.4312
3.4312 0.0000 3.4312
3.4312 3.4312 0.0000
Li Ho Sc
1 1 1
direct
0.0000 0.0000 0.0000
0.7500 0.7500 0.7500
0.2500 0.2500 0.2500



[4]
LiHoSc, relaxed, DFT PBE; electronic total energy = -0.24313 Ry/atom; distance to the lowest polymorph of the same formula = 0.398 eV per atom; symmetry = F-43m, No. 216
1.0
0.0000 3.5329 3.5329
3.5329 0.0000 3.5329
3.5329 3.5329 0.0000
Li Ho Sc
1 1 1
direct
0.0000 0.0000 0.0000
0.2500 0.2500 0.2500
0.5000 0.5000 0.5000



| no. | total magnetization (μB/cell) |
| --- | --- |
| 1 | 0.00 |
| 2 | 0.01 |
| 3 | 0.21 |
| 4 | 0.02 |